# 1
{
  "formula": "CoPt6Rh2",
  "functional": "PBE-GGA",
  "state": "relaxed",
  "e_form_ev_per_fu": -0.3,
  "relative_energy_ev_per_atom": 0.000,
  "energy_ev_per_cell": -58.360,
  "lattice_angstrom": [[7.192, -1.378, 0.000], [7.192, 1.378, 0.000], [-4.794, 0.000, 6.787]],
  "species": ["Co", "Pt", "Pt", "Pt", "Pt", "Pt", "Pt", "Rh", "Rh"],
  "frac_coords": [[0.000, 0.000, 0.000], [0.002, 0.002, 0.328], [0.332, 0.332, 0.335], [0.339, 0.339, 0.998], [0.661, 0.661, 0.002], [0.668, 0.668, 0.665], [0.998, 0.998, 0.672], [0.336, 0.336, 0.673], [0.664, 0.664, 0.327]]
}



# 2
{
  "formula": "KSe2N2",
  "functional": "PBE-GGA",
  "state": "relaxed",
  "formation_energy_uncorrected_mev_per_atom": 1292.0,
  "relative_energy_ev_per_atom": 0.907,
  "energy_ev_per_cell": -18.257,
  "lattice_angstrom": [[4.235, 0.000, 0.000], [0.000, 4.235, 0.000], [0.000, 0.000, 5.870]],
  "species": ["K", "Se", "Se", "N", "N"],
  "frac_coords": [[0.000, 0.000, 0.000], [0.000, 0.500, 0.500], [0.500, 0.000, 0.500], [0.500, 0.500, 0.000], [0.500, 0.500, 0.500]]
}



# 3
{
  "formula": "SiAsOs2",
  "functional": "PBE-GGA",
  "state": "relaxed",
  "formation_energy_uncorrected_mev_per_atom": 38.6,
  "relative_energy_ev_per_atom": 0.000,
  "energy_ev_per_cell": -32.377,
  "lattice_angstrom": [[4.721, 0.000, 0.000], [0.000, 1.474, 4.396], [0.000, -1.474, 4.396]],
  "species": ["Si", "As", "Os", "Os"],
  "frac_coords": [[0.000, 0.000, 0.000], [0.500, 0.854, 0.854], [0.000, 0.715, 0.715], [0.500, 0.135, 0.135]]
}



# 4
{
  "formula": "Er8TmAl2",
  "functional": "PBE-GGA",
  "state": "relaxed",
  "e_form_ev_per_fu": -1.2,
  "relative_energy_ev_per_atom": 0.000,
  "energy_ev_per_cell": -49.673,
  "lattice_angstrom": [[8.101, -2.565, 0.000], [8.101, 2.565, 0.000], [-3.330, 0.000, 7.406]],
  "species": ["Er", "Er", "Er", "Er", "Er", "Er", "Er", "Er", "Tm", "Al", "Al"],
  "frac_coords": [[0.056, 0.056, 0.234], [0.153, 0.153, 0.720], [0.312, 0.312, 0.549], [0.391, 0.391, 0.029], [0.609, 0.609, 0.971], [0.688, 0.688, 0.451], [0.847, 0.847, 0.280], [0.944, 0.944, 0.766], [0.500, 0.500, 0.500], [0.225, 0.225, 0.142], [0.775, 0.775, 0.858]]
}



# 5
{
  "formula": "BiSbC",
  "functional": "PBE-GGA",
  "state": "relaxed",
  "formation_energy_uncorrected_mev_per_atom": 815.4,
  "relative_energy_ev_per_atom": 0.072,
  "energy_ev_per_cell": -14.781,
  "lattice_angstrom": [[3.377, 0.000, 0.000], [0.000, 3.470, 0.000], [0.000, 0.000, 6.542]],
  "species": ["Bi", "Sb", "C"],
  "frac_coords": [[0.000, 0.000, 0.000], [0.500, 0.500, 0.448], [0.000, 0.500, 0.236]]
}



# 6
{
  "formula": "ErLu2Cd",
  "functional": "PBE-GGA",
  "state": "relaxed",
  "e_form_ev_per_fu": -0.6,
  "relative_energy_ev_per_atom": 0.000,
  "energy_ev_per_cell": -15.090,
  "lattice_angstrom": [[3.508, 0.000, 0.000], [0.000, 3.508, 0.000], [0.000, 0.000, 8.953]],
  "species": ["Er", "Lu", "Lu", "Cd"],
  "frac_coords": [[0.000, 0.000, 0.000], [0.500, 0.500, 0.271], [0.500, 0.500, 0.729], [0.000, 0.000, 0.500]]
}



# 7
{
  "formula": "PmMg2ZnNi2",
  "functional": "PBE-GGA",
  "state": "relaxed",
  "e_form_ev_per_fu": 0.1,
  "energy_ev_per_cell": -20.712,
  "lattice_angstrom": [[-2.480, 2.480, 5.020], [2.480, -2.480, 5.020], [2.480, 2.480, -5.020]],
  "species": ["Pm", "Mg", "Mg", "Zn", "Ni", "Ni"],
  "frac_coords": [[0.000, 0.000, 0.000], [0.250, 0.750, 0.500], [0.750, 0.250, 0.500], [0.500, 0.500, 0.000], [0.269, 0.269, 0.000], [0.731, 0.731, 0.000]]
}



# 8
{
  "formula": "Er2Cd16Hg",
  "functional": "PBE-GGA",
  "state": "relaxed",
  "e_form_ev_per_fu": -1.5,
  "energy_ev_per_cell": -25.610,
  "lattice_angstrom": [[5.030, 2.904, 4.997], [-5.030, 2.904, 4.997], [0.000, -5.808, 4.997]],
  "species": ["Er", "Er", "Cd", "Cd", "Cd", "Cd", "Cd", "Cd", "Cd", "Cd", "Cd", "Cd", "Cd", "Cd", "Cd", "Cd", "Cd", "Cd", "Hg"],
  "frac_coords": [[0.000, 0.000, 0.000], [0.347, 0.347, 0.347], [0.021, 0.021, 0.557], [0.021, 0.557, 0.021], [0.216, 0.647, 0.647], [0.295, 0.295, 0.903], [0.295, 0.903, 0.295], [0.369, 0.680, 0.984], [0.369, 0.984, 0.680], [0.557, 0.021, 0.021], [0.596, 0.596, 0.596], [0.647, 0.216, 0.647], [0.647, 0.647, 0.216], [0.680, 0.369, 0.984], [0.680, 0.984, 0.369], [0.903, 0.295, 0.295], [0.984, 0.369, 0.680], [0.984, 0.680, 0.369], [0.789, 0.789, 0.789]]
}



Which calculated density belongs to each record? In order, 17.7 3.5 13.1 8.4 7.4 9.5 5.1 8.8 Mg/m³.